(1)
First-principles (GGA-PBE) data for an optimized crystal structure of Sc8AlFe2, as listed in the Alexandria database.

Structure (CIF):
```
data_Sc8AlFe2
_chemical_formula_sum 'Sc16 Al2 Fe4'
_symmetry_space_group_name_H-M 'C 1 2/m 1'
_symmetry_Int_Tables_number 12
_cell_length_a 8.128
_cell_length_b 12.075
_cell_length_c 4.851
_cell_angle_alpha 90.00
_cell_angle_beta 103.86
_cell_angle_gamma 90.00
loop_
_symmetry_equiv_pos_as_xyz
'x,y,z'
'-x,-y,-z'
'-x,y,-z'
'x,-y,z'
'x+1/2,y+1/2,z'
'-x+1/2,-y+1/2,-z'
'-x+1/2,y+1/2,-z'
'x+1/2,-y+1/2,z'
loop_
_atom_site_label
_atom_site_type_symbol
_atom_site_fract_x
_atom_site_fract_y
_atom_site_fract_z
_atom_site_occupancy
Sc1 Sc 0.000 0.247 0.000 1
Sc2 Sc 0.120 0.500 0.806 1
Sc3 Sc 0.195 0.134 0.577 1
Al1 Al 0.000 0.000 0.000 1
Fe1 Fe 0.000 0.317 0.500 1
```

Summary:
E_form, eV per atom: -0.106

(2)
First-principles (GGA-PBE) data for an optimized crystal structure of AcSnHgPt3, as listed in the Alexandria database.

Structure (CIF):
```
data_AcSnHgPt3
_chemical_formula_sum 'Ac4 Sn4 Hg4 Pt12'
_symmetry_space_group_name_H-M 'C m c m'
_symmetry_Int_Tables_number 63
_symmetry_space_group_name_Hall '-C 2c 2'
_cell_length_a 5.879
_cell_length_b 17.732
_cell_length_c 5.891
_cell_angle_alpha 90.00
_cell_angle_beta 90.00
_cell_angle_gamma 90.00
loop_
_atom_site_label
_atom_site_type_symbol
_atom_site_fract_x
_atom_site_fract_y
_atom_site_fract_z
_atom_site_occupancy
Ac1 Ac 0.000 0.213 0.250 1
Sn1 Sn 0.000 0.085 0.750 1
Hg1 Hg 0.000 0.386 0.750 1
Pt1 Pt 0.000 0.234 0.750 1
Pt2 Pt 0.230 0.500 0.000 1
```

Summary:
E_form, eV per atom: -0.519

(3)
First-principles (GGA-PBE) data for an optimized crystal structure of Th4ZnSn, as listed in the Alexandria database.

Structure (CIF):
```
data_Th4ZnSn
_chemical_formula_sum 'Th8 Zn2 Sn2'
_symmetry_space_group_name_H-M 'P 4/m c c'
_symmetry_Int_Tables_number 124
_symmetry_space_group_name_Hall '-P 4 2c'
_cell_length_a 7.651
_cell_length_b 7.651
_cell_length_c 5.988
_cell_angle_alpha 90.00
_cell_angle_beta 90.00
_cell_angle_gamma 90.00
loop_
_atom_site_label
_atom_site_type_symbol
_atom_site_fract_x
_atom_site_fract_y
_atom_site_fract_z
_atom_site_occupancy
Th1 Th 0.149 0.338 0.000 1
Zn1 Zn 0.000 0.000 0.250 1
Sn1 Sn 0.500 0.500 0.250 1
```

Summary:
E_form, eV per atom: -0.256

(4)
First-principles (GGA-PBE) data for an optimized crystal structure of KSi2TePd, as listed in the Alexandria database.

Structure (CIF):
```
data_KSi2TePd
_chemical_formula_sum 'K1 Si2 Te1 Pd1'
_symmetry_space_group_name_H-M 'P 4/m m m'
_symmetry_Int_Tables_number 123
_symmetry_space_group_name_Hall '-P 4 2'
_cell_length_a 5.435
_cell_length_b 5.435
_cell_length_c 4.958
_cell_angle_alpha 90.00
_cell_angle_beta 90.00
_cell_angle_gamma 90.00
loop_
_atom_site_label
_atom_site_type_symbol
_atom_site_fract_x
_atom_site_fract_y
_atom_site_fract_z
_atom_site_occupancy
K1 K 0.000 0.000 0.000 1
Si1 Si 0.000 0.500 0.000 1
Te1 Te 0.500 0.500 0.500 1
Pd1 Pd 0.000 0.000 0.500 1
```

Summary:
Formation energy without anion corrections, eV per atom: 1.65

Number 1: total DFT energy (no corrections) -0.4843 Ry/atom. Number 2: total DFT energy (no corrections) -0.3632 Ry/atom. Number 3: total DFT energy (no corrections) -0.4470 Ry/atom. Number 4: total DFT energy (no corrections) -0.1766 Ry/atom.